A relaxed structure of Ce2NbCo, computed with GGA-PBE.

The structure belongs to space group R-3m (No. 166, hexagonal axes); the cell edges are 2.9750, 2.9750 and 31.0434 Å and the angles 90.00°, 90.00° and 120.00°. The distinct sites, in fractional coordinates, are Ce at (0.0000, 0.0000, 0.0937), Nb at (0.0000, 0.0000, 0.0000) and Co at (0.0000, 0.0000, 0.5000).

The formation energy comes out at 0.4170 eV per atom.

---

A relaxed structure of SrCo2Te, computed with GGA-PBE.

The structure belongs to space group I-4m2 (No. 119); the cell edges are 4.1663, 4.1663 and 9.2749 Å and the angles 90.00°, 90.00° and 90.00°. The distinct sites, in fractional coordinates, are Sr at (0.0000, 0.0000, 0.0000), Co at (0.0000, 0.0000, 0.5000), Co at (0.0000, 0.5000, 0.2500) and Te at (0.0000, 0.5000, 0.7500).

The value obtained for the formation energy without anion corrections is 0.43 eV per atom.

---

A relaxed structure of MgAgBi, computed with GGA-PBE.

The structure belongs to space group P-1 (No. 2); the cell edges are 4.5242, 4.5259 and 7.5153 Å and the angles 76.08°, 75.62° and 89.56°. The distinct sites, in fractional coordinates, are Mg at (0.1093, 0.1055, 0.2315), Ag at (0.0000, 0.5000, 0.5000), Ag at (0.5000, 0.0000, 0.5000) and Bi at (0.3697, 0.3734, 0.8044).

The formation energy comes out at -0.0773 eV per atom.

---

A relaxed structure of VRe, computed with GGA-PBE.

The structure belongs to space group I4/m (No. 87); the cell edges are 7.6137, 7.6137 and 4.3128 Å and the angles 90.00°, 90.00° and 90.00°. The distinct sites, in fractional coordinates, are V at (0.0124, 0.6794, 0.0000) and Re at (0.1504, 0.8187, 0.5000).

The formation energy comes out at 0.2280 eV per atom.